# KPOsCl2

Crystalline KPOsCl2 at its relaxed geometry (GGA-PBEsol, the Alexandria database).

Calculated values
uncorrected energy = -14.09 eV/cell
crystal system = tetragonal

Unit cell a=5.254 b=5.254 c=5.681 alpha=90.00 beta=90.00 gamma=90.00
Fractional coordinates of all 5 atoms:
Os 0.500 0.500 0.500
Cl 0.000 0.500 0.000
Cl 0.500 0.000 0.000
P 0.000 0.000 0.500
K 0.000 0.000 0.000

# Sr3ReBi

Crystalline Sr3ReBi at its relaxed geometry (GGA-PBEsol, the Alexandria database).

Calculated values
calculated formation energy = 0.5310 eV/atom
crystal system = cubic

Unit cell a=5.562 b=5.562 c=5.562 alpha=90.00 beta=90.00 gamma=90.00
Fractional coordinates of all 5 atoms:
Bi 0.500 0.500 0.500
Sr 0.000 0.500 0.000
Sr 0.500 0.000 0.000
Sr 0.000 0.000 0.500
Re 0.000 0.000 0.000

# SiOsCl2

Crystalline SiOsCl2 at its relaxed geometry (GGA-PBEsol, the Alexandria database).

Calculated values
offset from the most stable computed form = 87.8 kJ per mole of atoms
crystal system = monoclinic

Unit cell a=3.141 b=4.496 c=5.143 alpha=115.59 beta=107.34 gamma=90.97
Fractional coordinates of all 4 atoms:
Cl 0.000 0.000 0.500
Cl 0.500 0.500 0.500
Os 0.500 0.000 0.000
Si 0.000 0.500 0.000

# NaCo3Pb

Crystalline NaCo3Pb at its relaxed geometry (GGA-PBEsol, the Alexandria database).

Calculated values
calculated formation energy = 1.8056 eV/atom
crystal system = cubic

Unit cell a=4.382 b=4.382 c=4.382 alpha=90.00 beta=90.00 gamma=90.00
Fractional coordinates of all 5 atoms:
Co 0.000 0.500 0.000
Co 0.500 0.000 0.000
Co 0.000 0.000 0.500
Na 0.000 0.000 0.000
Pb 0.500 0.500 0.500